A plane-wave DFT calculation with PBE was carried out for a geometry-optimized TmInGaNi structure.

POSCAR file:
```
TmInGaNi
1.0
4.721 0.000 0.000
2.360 4.088 0.000
2.360 1.363 3.855
Ni Tm Ga In
1 1 1 1
Cartesian
2.360 1.363 0.964
0.000 0.000 0.000
7.081 4.088 2.891
4.721 2.726 1.927
```

## Properties
M_tot = 0.00 μB/f.u.
E_form = -7.4 kcal/mol of atoms
crystal system = cubic
density of states at the Fermi level = 3.40 states/eV/cell